Sr2ErCo2O6 | the Alexandria database | PBE with a Hubbard U | optimized geometry; calculated volume = 15.8 A^3/atom; ρ = 5.33 Mg/m³; space group = No. 166; raw total energy = -70.72 eV for the cell shown
1.0
2.9814 1.7213 5.6333
-2.9814 1.7213 5.6333
0.0000 -3.4426 5.6333
Sr Er Co O
2 1 2 6
Direct
0.2063 0.2063 0.2063 Sr
0.7937 0.7937 0.7937 Sr
0.0000 0.0000 0.0000 Er
0.4360 0.4360 0.4360 Co
0.5640 0.5640 0.5640 Co
0.2300 0.7520 0.7520 O
0.2480 0.2480 0.7700 O
0.2480 0.7700 0.2480 O
0.7520 0.2300 0.7520 O
0.7520 0.7520 0.2300 O
0.7700 0.2480 0.2480 O